[1]
VASP calculation (PBE) on an optimized crystal structure of Ba4IrO7.

For the raw formation energy, the calculation gives -1.750 eV/atom. The raw total energy is -0.2213 hartree per atom. Its symmetry is C2/m.

abc: 7.5280 7.5280 11.2282
angles: 122.78 122.78 30.75
Fractional coordinates of all 12 atoms:
Ba (0.1113, 0.1113, 0.4462)
Ba (0.2732, 0.2732, 0.1826)
Ba (0.7268, 0.7268, 0.8174)
Ba (0.8887, 0.8887, 0.5538)
Ir (0.5000, 0.5000, 0.0000)
O (0.0000, 0.0000, 0.0000)
O (0.1032, 0.1032, 0.6837)
O (0.2693, 0.2693, 0.4034)
O (0.3793, 0.3793, 0.0114)
O (0.6207, 0.6207, 0.9886)
O (0.7307, 0.7307, 0.5966)
O (0.8968, 0.8968, 0.3163)

---

[2]
VASP calculation (PBE) on an optimized crystal structure of Sr2YTe.

For the raw formation energy, the calculation gives -0.352 eV/atom. The raw total energy is -0.1321 hartree per atom. Its symmetry is P4/mmm.

abc: 5.7720 5.7720 4.4029
angles: 90.00 90.00 90.00
Fractional coordinates of all 4 atoms:
Sr (0.0000, 0.5000, 0.0000)
Sr (0.5000, 0.0000, 0.0000)
Y (0.0000, 0.0000, 0.5000)
Te (0.5000, 0.5000, 0.5000)

---

[3]
VASP calculation (PBE) on an optimized crystal structure of Sr2MgTi.

The raw total energy is -0.0922 hartree per atom. The calculation puts the formation energy at 704 meV per atom. Its symmetry is I-42d.

abc: 7.3093 7.3093 7.3093
angles: 102.86 102.86 123.71
Fractional coordinates of all 8 atoms:
Sr (0.1228, 0.6250, 0.9978)
Sr (0.3750, 0.3728, 0.4978)
Sr (0.6272, 0.1250, 0.0022)
Sr (0.8750, 0.8772, 0.5022)
Mg (0.0000, 0.0000, 0.0000)
Mg (0.7500, 0.2500, 0.5000)
Ti (0.2500, 0.7500, 0.5000)
Ti (0.5000, 0.5000, 0.0000)

---

[4]
VASP calculation (PBE) on an optimized crystal structure of Dy5Y5Er2.

The raw total energy is -0.1966 hartree per atom. The calculation puts the formation energy at 22 meV per atom. Its symmetry is C2/m.

abc: 7.9317 7.9317 11.2229
angles: 115.08 115.08 36.88
Fractional coordinates of all 12 atoms:
Dy (0.0000, 0.0000, 0.0000)
Dy (0.0821, 0.0821, 0.7496)
Dy (0.1669, 0.1669, 0.4999)
Dy (0.8331, 0.8331, 0.5001)
Dy (0.9179, 0.9179, 0.2504)
Y (0.2494, 0.2494, 0.2504)
Y (0.3343, 0.3343, 0.0004)
Y (0.5000, 0.5000, 0.5000)
Y (0.6657, 0.6657, 0.9996)
Y (0.7506, 0.7506, 0.7496)
Er (0.4165, 0.4165, 0.7489)
Er (0.5835, 0.5835, 0.2511)

---

[5]
VASP calculation (PBE) on an optimized crystal structure of KScS3.

For the raw formation energy, the calculation gives -1.015 eV/atom. The raw total energy is -0.1829 hartree per atom. The calculation puts the excess energy over the best structure of this formula in the dataset at 0.0 meV per atom. Its symmetry is Pm-3m.

abc: 5.0168 5.0168 5.0168
angles: 90.00 90.00 90.00
Fractional coordinates of all 5 atoms:
K (0.0000, 0.0000, 0.0000)
Sc (0.5000, 0.5000, 0.5000)
S (0.0000, 0.5000, 0.5000)
S (0.5000, 0.0000, 0.5000)
S (0.5000, 0.5000, 0.0000)

---

[6]
VASP calculation (PBE) on an optimized crystal structure of Er6Al2Cu.

The raw total energy is -0.1591 hartree per atom. The calculation puts the formation energy at -2 meV per atom. Its symmetry is Immm.

abc: 8.5165 8.5165 8.5165
angles: 146.52 131.17 60.51
Fractional coordinates of all 9 atoms:
Er (0.0809, 0.3375, 0.7433)
Er (0.2381, 0.0000, 0.2381)
Er (0.4058, 0.6625, 0.7433)
Er (0.5942, 0.3375, 0.2567)
Er (0.7619, 0.0000, 0.7619)
Er (0.9191, 0.6625, 0.2567)
Al (0.3341, 0.8341, 0.5000)
Al (0.6659, 0.1659, 0.5000)
Cu (0.0000, 0.5000, 0.5000)

---

[7]
VASP calculation (PBE) on an optimized crystal structure of Dy4USb5.

For the raw formation energy, the calculation gives -0.935 eV/atom. The raw total energy is -0.2192 hartree per atom. Its symmetry is I4/m.

abc: 7.5863 7.5863 7.5863
angles: 99.62 99.62 131.75
Fractional coordinates of all 10 atoms:
Dy (0.0995, 0.6997, 0.7992)
Dy (0.3003, 0.0995, 0.3998)
Dy (0.6997, 0.9005, 0.6002)
Dy (0.9005, 0.3003, 0.2008)
U (0.5000, 0.5000, 0.0000)
Sb (0.0000, 0.0000, 0.0000)
Sb (0.2013, 0.4010, 0.6023)
Sb (0.4010, 0.7987, 0.1997)
Sb (0.5990, 0.2013, 0.8003)
Sb (0.7987, 0.5990, 0.3977)

---

[8]
VASP calculation (PBE) on an optimized crystal structure of LiSiTc2.

For the raw formation energy, the calculation gives 0.038 eV/atom. The raw total energy is -0.2565 hartree per atom. Its symmetry is C2/m.

abc: 4.8516 4.8516 2.6371
angles: 100.13 100.13 114.21
Fractional coordinates of all 4 atoms:
Li (0.0000, 0.0000, 0.0000)
Si (0.5000, 0.5000, 0.0000)
Tc (0.0000, 0.5000, 0.5000)
Tc (0.5000, 0.0000, 0.5000)

---

[9]
VASP calculation (PBE) on an optimized crystal structure of ZnTcIr4.

The raw total energy is -0.2713 hartree per atom. The calculation puts the formation energy at 465 meV per atom. Its symmetry is F-43m.

abc: 5.1409 5.1409 5.1409
angles: 60.00 60.00 60.00
Fractional coordinates of all 6 atoms:
Zn (0.0000, 0.0000, 0.0000)
Tc (0.7500, 0.7500, 0.7500)
Ir (0.3748, 0.3748, 0.3748)
Ir (0.3748, 0.3748, 0.8756)
Ir (0.3748, 0.8756, 0.3748)
Ir (0.8756, 0.3748, 0.3748)

---

[10]
VASP calculation (PBE) on an optimized crystal structure of TmZrIrOs.

The raw total energy is -0.3286 hartree per atom. The calculation puts the formation energy at -663 meV per atom. The calculation puts the excess energy over the best structure of this formula in the dataset at 0.0 meV per atom. Its symmetry is P4mm.

abc: 3.3529 3.3529 6.5992
angles: 90.00 90.00 90.00
Fractional coordinates of all 4 atoms:
Tm (0.0000, 0.0000, 0.0000)
Zr (0.0000, 0.0000, 0.5007)
Ir (0.5000, 0.5000, 0.2613)
Os (0.5000, 0.5000, 0.7349)

---

[11]
VASP calculation (PBE) on an optimized crystal structure of Li6ZnRh5.

The raw total energy is -0.1603 hartree per atom. The calculation puts the formation energy at -236 meV per atom. Its symmetry is C2/m.

abc: 4.6325 4.6325 8.8558
angles: 95.05 95.05 120.00
Fractional coordinates of all 12 atoms:
Li (0.0722, 0.4160, 0.7457)
Li (0.2404, 0.2404, 0.2545)
Li (0.4160, 0.0722, 0.7457)
Li (0.5840, 0.9278, 0.2543)
Li (0.7596, 0.7596, 0.7455)
Li (0.9278, 0.5840, 0.2543)
Zn (0.5000, 0.5000, 0.0000)
Rh (0.0000, 0.0000, 0.5000)
Rh (0.1668, 0.8332, 0.0000)
Rh (0.3338, 0.6662, 0.5000)
Rh (0.6662, 0.3338, 0.5000)
Rh (0.8332, 0.1668, 0.0000)

---

[12]
VASP calculation (PBE) on an optimized crystal structure of Ac15La4Pm.

The raw total energy is -0.1573 hartree per atom. The calculation puts the formation energy at 24 meV per atom. Its symmetry is P4/mmm.

abc: 5.5610 5.5610 27.7714
angles: 90.00 90.00 90.00
Fractional coordinates of all 20 atoms:
Ac (0.0000, 0.0000, 0.0000)
Ac (0.0000, 0.0000, 0.1988)
Ac (0.0000, 0.0000, 0.3998)
Ac (0.0000, 0.0000, 0.6002)
Ac (0.0000, 0.0000, 0.8012)
Ac (0.0000, 0.5000, 0.0989)
Ac (0.0000, 0.5000, 0.2996)
Ac (0.0000, 0.5000, 0.5000)
Ac (0.0000, 0.5000, 0.7004)
Ac (0.0000, 0.5000, 0.9011)
Ac (0.5000, 0.0000, 0.0989)
Ac (0.5000, 0.0000, 0.2996)
Ac (0.5000, 0.0000, 0.5000)
Ac (0.5000, 0.0000, 0.7004)
Ac (0.5000, 0.0000, 0.9011)
La (0.5000, 0.5000, 0.1993)
La (0.5000, 0.5000, 0.3997)
La (0.5000, 0.5000, 0.6003)
La (0.5000, 0.5000, 0.8007)
Pm (0.5000, 0.5000, 0.0000)

---

[13]
VASP calculation (PBE) on an optimized crystal structure of AcPrNdCd.

The raw total energy is -0.1394 hartree per atom. The calculation puts the formation energy at -150 meV per atom. The calculation puts the excess energy over the best structure of this formula in the dataset at 0.0 meV per atom. Its symmetry is P4mm.

abc: 3.8764 3.8764 9.0766
angles: 90.00 90.00 90.00
Fractional coordinates of all 4 atoms:
Ac (0.0000, 0.0000, 0.0000)
Pr (0.5000, 0.5000, 0.7115)
Nd (0.5000, 0.5000, 0.2859)
Cd (0.0000, 0.0000, 0.4957)

---

[14]
VASP calculation (PBE) on an optimized crystal structure of Pu3Si2Ir.

For the raw formation energy, the calculation gives -0.507 eV/atom. The raw total energy is -0.4027 hartree per atom. Its symmetry is Pnma.

abc: 11.5807 4.4186 9.0181
angles: 90.00 90.00 90.00
Fractional coordinates of all 24 atoms:
Pu (0.0456, 0.2500, 0.1073)
Pu (0.1699, 0.7500, 0.6355)
Pu (0.2364, 0.2500, 0.7808)
Pu (0.2636, 0.7500, 0.2808)
Pu (0.3301, 0.2500, 0.1355)
Pu (0.4544, 0.7500, 0.6073)
Pu (0.5456, 0.2500, 0.3927)
Pu (0.6699, 0.7500, 0.8645)
Pu (0.7364, 0.2500, 0.7192)
Pu (0.7636, 0.7500, 0.2192)
Pu (0.8301, 0.2500, 0.3645)
Pu (0.9544, 0.7500, 0.8927)
Si (0.0084, 0.7500, 0.3487)
Si (0.1930, 0.7500, 0.9791)
Si (0.3070, 0.2500, 0.4791)
Si (0.4916, 0.2500, 0.8487)
Si (0.5084, 0.7500, 0.1513)
Si (0.6930, 0.7500, 0.5209)
Si (0.8070, 0.2500, 0.0209)
Si (0.9916, 0.2500, 0.6513)
Ir (0.1045, 0.2500, 0.4072)
Ir (0.3955, 0.7500, 0.9072)
Ir (0.6045, 0.2500, 0.0928)
Ir (0.8955, 0.7500, 0.5928)

---

[15]
VASP calculation (PBE) on an optimized crystal structure of TiPt3Br.

For the raw formation energy, the calculation gives 1.059 eV/atom. The raw total energy is -0.1646 hartree per atom. The calculation puts the excess energy over the best structure of this formula in the dataset at 305.5 meV per atom. Its symmetry is Pm-3m.

abc: 4.7141 4.7141 4.7141
angles: 90.00 90.00 90.00
Fractional coordinates of all 5 atoms:
Ti (0.0000, 0.0000, 0.0000)
Pt (0.0000, 0.5000, 0.5000)
Pt (0.5000, 0.0000, 0.5000)
Pt (0.5000, 0.5000, 0.0000)
Br (0.5000, 0.5000, 0.5000)